Computed, not measured: AlRh2Au after structural relaxation at the PBE level of DFT.

Structure (extended XYZ):
```
4
Lattice="-0.101 2.793 0.864 -1.754 1.206 -4.103 -4.153 -0.641 1.587" Properties=species:S:1:pos:R:3 pbc="T T T"
Rh 0.000 0.000 0.000
Rh -0.928 1.999 -1.620
Au -2.954 0.282 -1.258
Al -2.127 1.076 1.226
```

Output
magnetic moment	0.00	μB/f.u.
VASP energy	-5.66	eV per atom
D(E_F)	4.1	states/eV/cell
space-group type	Pmmm, No. 47